! TcNiRh3, relaxed, DFT PBE; values from VASP
! * spin magnetization: 0.00 μB/atom
! * symmetry: No. 14
! * formation enthalpy at 0 K: 116 meV/atom
&SYSTEM
  ibrav = 0, nat = 20, ntyp = 3
/
ATOMIC_SPECIES
Rh 102.91 Rh.upf
Tc 98.00 Tc.upf
Ni 58.69 Ni.upf
ATOMIC_POSITIONS crystal
Rh 0.142 0.624 0.481
Tc 0.127 0.470 0.825
Rh 0.613 0.755 0.364
Rh 0.367 0.373 0.280
Tc 0.373 0.970 0.675
Rh 0.867 0.127 0.780
Ni 0.104 0.114 0.403
Ni 0.396 0.614 0.097
Rh 0.387 0.245 0.636
Rh 0.113 0.745 0.864
Rh 0.358 0.124 0.019
Rh 0.642 0.876 0.981
Tc 0.873 0.530 0.175
Ni 0.896 0.886 0.597
Rh 0.887 0.255 0.136
Rh 0.633 0.627 0.720
Ni 0.604 0.386 0.903
Tc 0.627 0.030 0.325
Rh 0.133 0.873 0.220
Rh 0.858 0.376 0.519
CELL_PARAMETERS angstrom
4.664 0.000 0.349
0.000 9.185 0.000
0.241 0.000 6.600